1.
Below is a geometry-optimized Sr2LiHgF structure, with properties calculated at the PBE level.

Cell lengths 5.4754, 5.4754, 4.2124 Å; angles 90.00, 90.00, 90.00 degrees
Closest atoms and distances in Å follow each position.
Atoms (fractional coordinates):
Sr 0.0000 0.5000 0.0000  2 F 2.74
Sr 0.5000 0.0000 0.0000  2 F 2.74
Li 0.0000 0.0000 0.5000  2 F 2.11
Hg 0.5000 0.5000 0.5000  8 Sr 3.45
F 0.0000 0.0000 0.0000  2 Li 2.11

Total moment   0.00 μB/f.u.
E_form (uncorrected)   -1.314 eV per atom

2.
Below is a geometry-optimized SrLiHg2F8 structure, with properties calculated at the PBE level.

Cell lengths 4.1128, 5.5261, 8.0196 Å; angles 89.94, 88.41, 86.65 degrees
Closest atoms and distances in Å follow each position.
Atoms (fractional coordinates):
Sr 0.0000 0.0000 0.5000  8 F 2.46-2.56
Li 0.0000 0.0000 0.0000  2 F 1.94
Hg 0.4669 0.5310 0.7717  4 F 2.19-2.25
Hg 0.5331 0.4690 0.2283  4 F 2.19-2.25
F 0.0623 0.6703 0.2873  1 Hg 2.22
F 0.5765 0.7493 0.0376  1 Hg 2.19, 1 Li 2.30
F 0.9408 0.1799 0.2068  1 Li 1.94
F 0.9377 0.3297 0.7127  1 Hg 2.22
F 0.4235 0.2507 0.9624  1 Hg 2.19, 1 Li 2.30
F 0.0592 0.8201 0.7932  1 Li 1.94
F 0.5272 0.7522 0.5433  1 Hg 2.22, 1 Sr 2.46
F 0.4728 0.2478 0.4567  1 Hg 2.22, 1 Sr 2.46

Total moment   1.07 μB/f.u.
E_form (uncorrected)   -2.172 eV per atom

3.
Below is a geometry-optimized LiTbHgF6 structure, with properties calculated at the PBE level.

Cell lengths 5.1271, 5.1271, 10.4089 Å; angles 90.00, 90.00, 90.00 degrees
Closest atoms and distances in Å follow each position.
Atoms (fractional coordinates):
Li 0.5000 0.5000 0.8290  6 F 2.10-2.21
Li 0.0000 0.0000 0.3290  6 F 2.10-2.21
Tb 0.5000 0.5000 0.1689  6 F 2.21-2.23
Tb 0.0000 0.0000 0.6689  6 F 2.21-2.23
Hg 0.5000 0.5000 0.4997  6 F 2.29-2.38
Hg 0.0000 0.0000 0.9997  6 F 2.29-2.38
F 0.1845 0.8155 0.4980  1 Li 2.21, 1 Tb 2.23, 1 Hg 2.29
F 0.8155 0.1845 0.4980  1 Li 2.21, 1 Tb 2.23, 1 Hg 2.29
F 0.3155 0.3155 0.9980  1 Li 2.21, 1 Tb 2.23, 1 Hg 2.29
F 0.6845 0.6845 0.9980  1 Li 2.21, 1 Tb 2.23, 1 Hg 2.29
F 0.1960 0.8040 0.1802  1 Li 2.10, 1 Tb 2.21
F 0.8040 0.1960 0.1802  1 Li 2.10, 1 Tb 2.21
F 0.3040 0.3040 0.6802  1 Li 2.10, 1 Tb 2.21
F 0.6960 0.6960 0.6802  1 Li 2.10, 1 Tb 2.21
F 0.7905 0.2095 0.8230  1 Li 2.11, 1 Tb 2.21
F 0.2095 0.7905 0.8230  1 Li 2.11, 1 Tb 2.21
F 0.7095 0.7095 0.3230  1 Li 2.11, 1 Tb 2.21
F 0.2905 0.2905 0.3230  1 Li 2.11, 1 Tb 2.21

Total moment   0.00 μB/f.u.
E_form (uncorrected)   -2.916 eV per atom

4.
Below is a geometry-optimized LiTcHgF6 structure, with properties calculated at the PBE level.

Cell lengths 5.3926, 5.3926, 11.5583 Å; angles 90.00, 90.00, 120.00 degrees
Closest atoms and distances in Å follow each position.
Atoms (fractional coordinates):
Li 0.3333 0.6667 0.2500  6 F 2.08-2.09
Li 0.6667 0.3333 0.7500  6 F 2.08-2.09
Tc 0.6667 0.3333 0.2500  6 F 1.96
Tc 0.3333 0.6667 0.7500  6 F 1.96
Hg 0.0000 0.0000 0.0000  6 F 2.70
Hg 0.0000 0.0000 0.5000  6 F 2.70
F 0.6344 0.6175 0.1548  1 Tc 1.96, 1 Li 2.09
F 0.9831 0.3656 0.1548  1 Tc 1.96, 1 Li 2.08
F 0.3656 0.9831 0.6548  1 Tc 1.96, 1 Li 2.08
F 0.0169 0.6344 0.8452  1 Tc 1.96, 1 Li 2.08
F 0.3825 0.3656 0.3452  1 Tc 1.96, 1 Li 2.09
F 0.9831 0.6175 0.3452  1 Tc 1.96, 1 Li 2.08
F 0.6175 0.9831 0.8452  1 Tc 1.96, 1 Li 2.08
F 0.6344 0.0169 0.3452  1 Tc 1.96, 1 Li 2.08
F 0.0169 0.3825 0.6548  1 Tc 1.96, 1 Li 2.08
F 0.3825 0.0169 0.1548  1 Tc 1.96, 1 Li 2.08
F 0.6175 0.6344 0.6548  1 Tc 1.96, 1 Li 2.09
F 0.3656 0.3825 0.8452  1 Tc 1.96, 1 Li 2.09

Total moment   1.99 μB/f.u.
E_form (uncorrected)   -2.047 eV per atom

5.
Below is a geometry-optimized LiHg2TeF structure, with properties calculated at the PBE level.

Cell lengths 5.8637, 4.5457, 5.8637 Å; angles 90.00, 90.00, 90.00 degrees
Closest atoms and distances in Å follow each position.
Atoms (fractional coordinates):
Te 0.0000 0.0000 0.0000  2 F 2.27
Li 0.5000 0.5000 0.5000  8 Hg 3.71, 4 F 4.15
Hg 0.0000 0.0000 0.5000  2 Te 2.93
Hg 0.5000 0.0000 0.0000  2 Te 2.93
F 0.0000 0.5000 0.0000  2 Te 2.27

Total moment   0.00 μB/f.u.
E_form (uncorrected)   -0.322 eV per atom

6.
Below is a geometry-optimized LiTiHgF6 structure, with properties calculated at the PBE level.

Cell lengths 5.3350, 5.3350, 11.2327 Å; angles 90.00, 90.00, 120.00 degrees
Closest atoms and distances in Å follow each position.
Atoms (fractional coordinates):
Li 0.3333 0.6667 0.2500  6 F 2.07
Li 0.6667 0.3333 0.7500  6 F 2.07
Ti 0.6667 0.3333 0.2500  6 F 1.90
Ti 0.3333 0.6667 0.7500  6 F 1.90
Hg 0.0000 0.0000 0.0000  6 F 2.68
Hg 0.0000 0.0000 0.5000  6 F 2.68
F 0.6300 0.6066 0.1541  1 Ti 1.90, 1 Li 2.07
F 0.9765 0.3700 0.1541  1 Ti 1.90, 1 Li 2.07
F 0.3700 0.9765 0.6541  1 Ti 1.90, 1 Li 2.07
F 0.0235 0.6300 0.8459  1 Ti 1.90, 1 Li 2.07
F 0.3934 0.3700 0.3459  1 Ti 1.90, 1 Li 2.07
F 0.9765 0.6066 0.3459  1 Ti 1.90, 1 Li 2.07
F 0.6066 0.9765 0.8459  1 Ti 1.90, 1 Li 2.07
F 0.6300 0.0235 0.3459  1 Ti 1.90, 1 Li 2.07
F 0.0235 0.3934 0.6541  1 Ti 1.90, 1 Li 2.07
F 0.3934 0.0235 0.1541  1 Ti 1.90, 1 Li 2.07
F 0.6066 0.6300 0.6541  1 Ti 1.90, 1 Li 2.07
F 0.3700 0.3934 0.8459  1 Ti 1.90, 1 Li 2.07

Total moment   0.96 μB/f.u.
E_form (uncorrected)   -2.734 eV per atom

7.
Below is a geometry-optimized LiTlHgF4 structure, with properties calculated at the PBE level.

Cell lengths 5.6435, 5.7679, 8.4435 Å; angles 90.00, 118.44, 90.00 degrees
Closest atoms and distances in Å follow each position.
Atoms (fractional coordinates):
Li 0.1612 0.7500 0.3047  4 F 1.87-1.92
Li 0.8388 0.2500 0.6953  4 F 1.87-1.92
Tl 0.5212 0.7500 0.8744  3 F 2.53-2.71
Tl 0.4788 0.2500 0.1256  3 F 2.53-2.71
Hg 0.7702 0.7500 0.4659  6 F 2.29-2.46
Hg 0.2298 0.2500 0.5341  6 F 2.29-2.46
F 0.0626 0.4984 0.6964  1 Li 1.91
F 0.9374 0.9984 0.3036  1 Li 1.91
F 0.9374 0.5016 0.3036  1 Li 1.91
F 0.0626 0.0016 0.6964  1 Li 1.91
F 0.3822 0.7500 0.1950  1 Li 1.87
F 0.6178 0.2500 0.8050  1 Li 1.87
F 0.4348 0.7500 0.5520  1 Li 1.92
F 0.5652 0.2500 0.4480  1 Li 1.92

Total moment   0.00 μB/f.u.
E_form (uncorrected)   -1.945 eV per atom

8.
Below is a geometry-optimized LiTlHgF6 structure, with properties calculated at the PBE level.

Cell lengths 5.5655, 5.5655, 9.8547 Å; angles 90.00, 90.00, 120.00 degrees
Closest atoms and distances in Å follow each position.
Atoms (fractional coordinates):
Li 0.6667 0.3333 0.2500  6 F 2.08
Li 0.3333 0.6667 0.7500  6 F 2.08
Tl 0.3333 0.6667 0.2500  6 F 2.20
Tl 0.6667 0.3333 0.7500  6 F 2.20
Hg 0.0000 0.0000 0.0000  6 F 2.35
Hg 0.0000 0.0000 0.5000  6 F 2.35
F 0.6597 0.6420 0.1347  1 Li 2.08, 1 Tl 2.20
F 0.9823 0.3403 0.1347  1 Li 2.08, 1 Tl 2.20
F 0.3403 0.9823 0.6347  1 Li 2.08, 1 Tl 2.20
F 0.0177 0.6597 0.8653  1 Li 2.08, 1 Tl 2.20
F 0.3580 0.3403 0.3653  1 Li 2.08, 1 Tl 2.20
F 0.9823 0.6420 0.3653  1 Li 2.08, 1 Tl 2.20
F 0.6420 0.9823 0.8653  1 Li 2.08, 1 Tl 2.20
F 0.6597 0.0177 0.3653  1 Li 2.08, 1 Tl 2.20
F 0.0177 0.3580 0.6347  1 Li 2.08, 1 Tl 2.20
F 0.3580 0.0177 0.1347  1 Li 2.08, 1 Tl 2.20
F 0.6420 0.6597 0.6347  1 Li 2.08, 1 Tl 2.20
F 0.3403 0.3580 0.8653  1 Li 2.08, 1 Tl 2.20

Total moment   0.00 μB/f.u.
E_form (uncorrected)   -1.939 eV per atom

9.
Below is a geometry-optimized LiTl2HgF6 structure, with properties calculated at the PBE level.

Cell lengths 5.6306, 5.6281, 6.6826 Å; angles 114.87, 114.94, 90.00 degrees
Closest atoms and distances in Å follow each position.
Atoms (fractional coordinates):
Li 0.5291 0.5294 0.0579  5 F 1.99-2.04
Tl 0.8098 0.3107 0.6198  4 F 2.56
Tl 0.3098 0.8107 0.6204  4 F 2.55
Hg 0.0476 0.0480 0.0952  5 F 2.19-2.29
F 0.6977 0.6984 0.9180  1 Li 2.04, 1 Hg 2.29
F 0.7152 0.7147 0.4294  1 Li 1.99
F 0.2204 0.2207 0.9182  1 Li 2.04, 1 Hg 2.29
F 0.6977 0.2207 0.9179  1 Li 2.04, 1 Hg 2.29
F 0.2513 0.2522 0.5030  1 Hg 2.19
F 0.2203 0.6984 0.9182  1 Li 2.04, 1 Hg 2.29

Total moment   0.00 μB/f.u.
E_form (uncorrected)   -1.799 eV per atom

10.
Below is a geometry-optimized LiTmHgF6 structure, with properties calculated at the PBE level.

Cell lengths 5.0874, 5.0874, 10.2888 Å; angles 90.00, 90.00, 90.00 degrees
Closest atoms and distances in Å follow each position.
Atoms (fractional coordinates):
Li 0.5000 0.5000 0.1712  6 F 2.10-2.21
Li 0.0000 0.0000 0.6712  6 F 2.10-2.21
Tm 0.5000 0.5000 0.8310  6 F 2.15-2.17
Tm 0.0000 0.0000 0.3310  6 F 2.15-2.17
Hg 0.5000 0.5000 0.4999  6 F 2.28-2.38
Hg 0.0000 0.0000 0.9999  6 F 2.28-2.38
F 0.1824 0.8176 0.4989  1 Tm 2.17, 1 Li 2.21, 1 Hg 2.28
F 0.8176 0.1824 0.4989  1 Tm 2.17, 1 Li 2.21, 1 Hg 2.28
F 0.3176 0.3176 0.9989  1 Tm 2.17, 1 Li 2.21, 1 Hg 2.28
F 0.6824 0.6824 0.9989  1 Tm 2.17, 1 Li 2.21, 1 Hg 2.28
F 0.2079 0.7921 0.1805  1 Li 2.10, 1 Tm 2.15
F 0.7921 0.2079 0.1805  1 Li 2.10, 1 Tm 2.15
F 0.2921 0.2921 0.6805  1 Li 2.10, 1 Tm 2.15
F 0.7079 0.7079 0.6805  1 Li 2.10, 1 Tm 2.15
F 0.7988 0.2012 0.8195  1 Li 2.10, 1 Tm 2.15, 1 Hg 2.35
F 0.2012 0.7988 0.8195  1 Li 2.10, 1 Tm 2.15, 1 Hg 2.35
F 0.7012 0.7012 0.3195  1 Li 2.10, 1 Tm 2.15, 1 Hg 2.35
F 0.2988 0.2988 0.3195  1 Li 2.10, 1 Tm 2.15, 1 Hg 2.35

Total moment   0.00 μB/f.u.
E_form (uncorrected)   -2.944 eV per atom

The records above give, respectively, density of states at the Fermi level values of 2.12 6.21 0.00 2.47 1.47 3.64 0.00 0.00 5.85 0.00 states/eV per cell.